No. 1
The following is a DFT calculation (PBE-GGA) of NdTmCu2S4 after structural relaxation.

a b c (Å): 6.4754 6.6836 7.6520
angles (deg): 90.00 90.00 90.00
With the nearest neighbours (Å) after each atom.
Space group I222 (No. 23)
Asymmetric unit:
Nd 0.0000 0.0000 0.0000  8 S 2.91-3.18
Tm 0.0000 0.0000 0.5000  4 S 2.61
Cu 0.0000 0.5000 0.1679  2 S 2.23
S 0.2422 0.2196 0.3064  1 Cu 2.23

Results
Its total energy is -5.4432 eV per atom. The value obtained for the density of states at the Fermi level is 0.10 states/eV/atom.

---

No. 2
The following is a DFT calculation (PBE-GGA) of Li4AsH after structural relaxation.

a b c (Å): 3.8296 3.8296 5.5316
angles (deg): 90.00 90.00 90.00
With the nearest neighbours (Å) after each atom.
Space group P4/mmm (No. 123)
Asymmetric unit:
Li 0.0000 0.0000 0.1832  1 H 1.75
Li 0.0000 0.5000 0.5000  2 H 1.91
As 0.5000 0.5000 0.0000  8 Li 2.89
H 0.0000 0.0000 0.5000  6 Li 1.75-1.91

Results
As for the energy above the most stable polymorph in this dataset: 129 kJ/mol of formula units. The value obtained for the density of states at the Fermi level is 0.21 states/eV/atom.

---

No. 3
The following is a DFT calculation (PBE-GGA) of Zr2AlSi after structural relaxation.

a b c (Å): 5.8534 4.8854 5.4383
angles (deg): 90.00 90.00 90.00
With the nearest neighbours (Å) after each atom.
Space group Pmma (No. 51)
Asymmetric unit:
Zr 0.0000 0.0000 0.0000  6 Zr 2.93-3.18, 4 Si 2.99-3.19, 4 Al 3.12
Zr 0.2500 0.5000 0.2585  4 Al 2.68-2.93, 2 Si 2.83
Al 0.2500 0.5000 0.7657  4 Zr 2.68-2.93, 2 Si 2.78
Si 0.2500 0.0000 0.5211  2 Al 2.78, 4 Zr 2.83-2.99, 2 Si 2.94

Results
As for the energy above the most stable polymorph in this dataset: 221 kJ/mol of formula units. The value obtained for the density of states at the Fermi level is 0.92 states/eV/atom.